A plane-wave DFT calculation with PBE with a Hubbard U was carried out for a geometry-optimized Cd2GaNiO4 structure.

Calculated values
N(E_F): 0.19 states/eV/atom
V: 116.02 Å³/f.u.
Final energy: -4.53 eV per atom
Crystal system: orthorhombic

Lattice parameters (Å, degrees): 6.097 6.039 4.805 67.32 66.05 46.64
Positions (direct):
Cd  0.000  0.000  0.500
Cd  0.500  0.500  0.000
Ga  0.246  0.246  0.754
Ni  0.759  0.759  0.241
O  0.112  0.579  0.421
O  0.391  0.902  0.609
O  0.579  0.112  0.888
O  0.902  0.391  0.098